[1]
Computed, not measured: a relaxed structure of NaTiCuTe3 at the PBE level of DFT.

Cell and atoms, written as extended XYZ:
```
12
Lattice="3.915 0.000 0.000 0.000 8.392 0.268 0.000 -3.851 9.420" Properties=species:S:1:pos:R:3 pbc="T T T"
Na 0.979 1.096 2.792
Ti 0.979 5.242 1.816
Ti 2.937 -0.701 7.872
Te 0.979 1.326 8.375
Te 2.937 0.064 5.256
Te 0.979 -2.660 8.027
Na 2.937 3.445 6.896
Cu 0.979 -1.651 5.646
Te 2.937 3.216 1.313
Te 2.937 7.201 1.662
Cu 2.937 6.192 4.042
Te 0.979 4.477 4.432
```

Values from the calculation:
Volume (Å³/atom): 26.13
Formation energy (no corrections) (eV per atom): -0.62
Final energy (eV per formula unit): -26.5

[2]
Computed, not measured: a relaxed structure of Na2TiCuTe4 at the PBE level of DFT.

Cell and atoms, written as extended XYZ:
```
8
Lattice="-3.722 1.428 0.049 -1.070 -3.041 7.293 1.947 4.898 5.168" Properties=species:S:1:pos:R:3 pbc="T T T"
Cu -0.449 4.091 8.839
Na -0.887 3.163 2.608
Ti 0.439 0.928 6.230
Te -0.766 3.372 5.688
Na 1.947 4.898 5.168
Te 0.787 1.744 8.935
Te -3.632 1.541 3.574
Te -2.078 -0.087 6.822
```

Values from the calculation:
Volume (Å³/atom): 27.46
Formation energy (no corrections) (eV per atom): -0.55
Final energy (eV per formula unit): -31.6

[3]
Computed, not measured: a relaxed structure of NaTmCuTe2 at the PBE level of DFT.

Cell and atoms, written as extended XYZ:
```
10
Lattice="4.500 0.000 0.000 0.000 7.763 0.589 0.000 -1.715 8.115" Properties=species:S:1:pos:R:3 pbc="T T T"
Tm 2.268 -1.286 6.086
Te 3.029 1.158 4.464
Te 3.029 4.033 8.297
Na 3.824 3.453 2.323
Te 1.471 2.015 0.407
Cu 0.000 0.000 0.000
Te 1.471 4.891 4.240
Tm 2.232 -0.429 2.029
Na 0.676 2.595 6.381
Cu 0.000 -0.857 4.058
```

Values from the calculation:
Volume (Å³/atom): 28.81
Formation energy (no corrections) (eV per atom): -0.67
Final energy (eV per formula unit): -19.5

[4]
Computed, not measured: a relaxed structure of NaTm2CuTe4 at the PBE level of DFT.

Cell and atoms, written as extended XYZ:
```
16
Lattice="-1.663 -3.423 1.949 4.966 -2.599 -5.018 10.972 0.659 10.516" Properties=species:S:1:pos:R:3 pbc="T T T"
Te 6.474 -2.109 1.818
Tm 13.227 -2.535 6.830
Cu 10.260 -4.201 6.063
Te 2.308 -1.960 3.216
Te 3.543 -2.285 -0.991
Cu 4.016 -1.163 1.384
Tm 5.005 -2.591 4.409
Na 9.248 -0.568 6.891
Te 10.732 -3.078 8.438
Te 11.968 -3.404 4.231
Tm 9.270 -2.772 3.038
Te 7.801 -3.254 5.629
Na 5.028 -4.795 0.556
Tm 1.049 -2.829 0.617
Te 5.486 0.330 5.258
Te 0.000 0.000 0.000
```

Values from the calculation:
Volume (Å³/atom): 29.32
Formation energy (no corrections) (eV per atom): -1.06
Final energy (eV per formula unit): -35.4